Entry 1:
Compound: SmYPu2
Source: the Alexandria database
Functional: PBE
Structure: relaxed

## Properties
**DFT formation energy**: 0.21 eV/atom
**Fermi-level density of states**: 15.5 states/eV/cell
**Space-group type**: P4/mmm (123)
**Relative energy among the computed polymorphs**: 0 meV per atom

a b c (Å): 5.069 4.860 4.860
angles (deg): 90.00 90.00 90.00
Element x y z (fractional)
Pu 0.000 0.500 0.000
Pu 0.000 0.000 0.500
Sm 0.500 0.000 0.000
Y 0.500 0.500 0.500



Entry 2:
Compound: AcBiSb2
Source: the Alexandria database
Functional: PBE
Structure: relaxed

## Properties
**Fermi-level density of states**: 1.7 states/eV/cell
**Space-group type**: P4/mmm (123)
**Formation energy from raw total energies**: -567 meV per atom
**Relative energy among the computed polymorphs**: 0 meV per atom

a b c (Å): 4.535 5.260 5.260
angles (deg): 90.00 90.00 90.00
Element x y z (fractional)
Sb 0.000 0.000 0.500
Sb 0.000 0.500 0.000
Ac 0.500 0.500 0.500
Bi 0.500 0.000 0.000